<1>
A plane-wave DFT calculation with PBE was carried out for a relaxed CaSm2Hg8 crystal.

Geometry as POSCAR:
```
CaSm2Hg8
1.0
-1.805 -1.006 -4.766
4.839 -5.355 -0.702
-6.488 -1.696 5.647
Hg Sm Ca
8 2 1
direct
0.000 0.708 0.000
0.353 0.568 0.706
0.353 0.137 0.705
0.647 0.863 0.295
0.647 0.432 0.294
0.000 0.292 0.000
0.841 0.841 0.682
0.159 0.159 0.318
0.193 0.693 0.385
0.807 0.307 0.615
0.500 0.000 0.000
```

Output
* spin magnetization: 0.00 μB per atom
* symmetry: No. 71
* N(E_F): 5.9 states/eV per cell


<2>
A plane-wave DFT calculation with PBE was carried out for a relaxed CaSm2Hg8 crystal.

Geometry as POSCAR:
```
CaSm2Hg8
1.0
5.034 0.000 0.000
0.000 7.303 0.225
-2.517 -2.887 7.504
Hg Sm Ca
8 2 1
direct
0.671 0.899 0.343
0.329 0.101 0.657
0.150 0.181 0.299
0.404 0.544 0.808
0.027 0.729 0.054
0.850 0.819 0.701
0.973 0.271 0.946
0.596 0.456 0.192
0.214 0.658 0.428
0.786 0.342 0.572
0.500 0.000 0.000
```

Output
* spin magnetization: 0.00 μB per atom
* symmetry: No. 12
* N(E_F): 5.7 states/eV per cell


Most stable structure, least stable structure: <2>, <1>.


<1>
A plane-wave DFT calculation with PBE was carried out for a relaxed CaSmHg6 crystal.

Geometry as POSCAR:
```
CaSmHg6
1.0
4.702 0.000 0.000
0.000 4.702 0.000
0.000 0.000 9.238
Hg Sm Ca
6 1 1
direct
0.500 0.500 0.500
0.500 0.000 0.752
0.000 0.500 0.248
0.500 0.500 0.000
0.000 0.500 0.752
0.500 0.000 0.248
0.000 0.000 0.000
0.000 0.000 0.500
```

Output
* spin magnetization: 0.00 μB per atom
* symmetry: No. 123
* N(E_F): 4.8 states/eV per cell


<2>
A plane-wave DFT calculation with PBE was carried out for a relaxed CaSmHg6 crystal.

Geometry as POSCAR:
```
CaSmHg6
1.0
-2.669 -3.037 3.187
2.680 -5.393 -2.895
3.076 2.790 5.235
Hg Ca Sm
6 1 1
direct
0.000 0.585 0.415
0.500 0.917 0.083
0.000 0.591 0.926
0.500 0.422 0.089
0.000 0.074 0.409
0.500 0.911 0.578
0.500 0.413 0.587
0.000 0.087 0.913
```

Output
* spin magnetization: 0.00 μB per atom
* symmetry: No. 38
* N(E_F): 5.4 states/eV per cell


Most stable structure, least stable structure: <2>, <1>.


<1>
A plane-wave DFT calculation with PBE was carried out for a relaxed CaSmHg2 crystal.

Geometry as POSCAR:
```
CaSmHg2
1.0
-1.490 2.715 -2.168
-4.849 -2.227 0.545
-0.886 2.996 4.361
Hg Sm Ca
2 1 1
direct
0.000 0.500 0.000
0.000 0.000 0.500
0.500 0.500 0.500
0.500 0.000 0.000
```

Output
* spin magnetization: 0.00 μB per atom
* symmetry: No. 123
* N(E_F): 2.4 states/eV per cell


<2>
A plane-wave DFT calculation with PBE was carried out for a relaxed CaSmHg2 crystal.

Geometry as POSCAR:
```
CaSmHg2
1.0
3.990 0.000 0.000
1.995 3.455 0.000
1.995 1.152 8.808
Sm Hg Ca
1 2 1
direct
0.500 0.500 0.500
0.249 0.249 0.252
0.084 0.084 0.748
0.667 0.667 0.000
```

Output
* spin magnetization: 0.00 μB per atom
* symmetry: No. 160
* N(E_F): 3.4 states/eV per cell


Most stable structure, least stable structure: <1>, <2>.


<1>
A plane-wave DFT calculation with PBE was carried out for a relaxed CaSm2Hg3 crystal.

Geometry as POSCAR:
```
CaSm2Hg3
1.0
-2.149 -0.143 -3.100
-2.725 -1.717 1.968
-4.532 10.249 2.669
Sm Ca Hg
2 1 3
direct
0.500 0.500 0.835
0.500 0.500 0.165
0.500 0.500 0.500
0.000 0.000 0.000
0.000 0.000 0.671
0.000 0.000 0.329
```

Output
* spin magnetization: 0.04 μB per atom
* symmetry: No. 123
* N(E_F): 4.9 states/eV per cell


<2>
A plane-wave DFT calculation with PBE was carried out for a relaxed CaSm2Hg3 crystal.

Geometry as POSCAR:
```
CaSm2Hg3
1.0
-5.086 1.646 -0.331
1.185 -5.183 -0.649
-1.471 -1.949 12.884
Hg Ca Sm
6 2 4
direct
0.333 0.667 0.918
0.000 0.000 0.250
0.667 0.333 0.082
0.667 0.333 0.583
0.000 0.000 0.750
0.333 0.667 0.417
0.333 0.667 0.666
0.667 0.333 0.334
0.000 0.000 0.000
0.333 0.667 0.170
0.667 0.333 0.830
0.000 0.000 0.500
```

Output
* spin magnetization: 0.00 μB per atom
* symmetry: No. 164
* N(E_F): 11.6 states/eV per cell


Most stable structure, least stable structure: <2>, <1>.


<1>
A plane-wave DFT calculation with PBE was carried out for a relaxed CaSm3Hg2 crystal.

Geometry as POSCAR:
```
CaSm3Hg2
1.0
-0.123 -5.175 5.074
-0.069 -5.365 -5.474
7.510 5.133 0.241
Hg Sm Ca
4 6 2
direct
0.439 0.639 0.279
0.561 0.361 0.721
0.160 0.861 0.721
0.840 0.139 0.279
0.767 0.017 0.535
0.233 0.483 0.465
0.500 0.250 0.000
0.233 0.983 0.465
0.767 0.517 0.535
0.500 0.750 0.000
0.000 0.500 0.000
0.000 0.000 0.000
```

Output
* spin magnetization: 0.00 μB per atom
* symmetry: No. 72
* N(E_F): 14.8 states/eV per cell


<2>
A plane-wave DFT calculation with PBE was carried out for a relaxed CaSm3Hg2 crystal.

Geometry as POSCAR:
```
CaSm3Hg2
1.0
-0.495 4.460 2.746
-6.166 -2.391 2.773
4.759 -3.911 7.210
Ca Hg Sm
2 4 6
direct
0.500 0.514 0.554
0.500 0.014 0.446
0.500 0.739 0.847
0.000 0.260 0.653
0.500 0.239 0.153
0.000 0.760 0.347
0.000 0.490 0.943
0.000 0.329 0.330
0.000 0.829 0.670
0.500 0.169 0.829
0.500 0.669 0.171
0.000 0.990 0.057
```

Output
* spin magnetization: 0.00 μB per atom
* symmetry: No. 26
* N(E_F): 11.6 states/eV per cell


Most stable structure, least stable structure: <2>, <1>.


<1>
A plane-wave DFT calculation with PBE was carried out for a relaxed CaSmHg3 crystal.

Geometry as POSCAR:
```
CaSmHg3
1.0
-2.318 4.361 -4.893
-6.511 -2.458 0.894
2.243 5.455 3.800
Sm Hg Ca
2 6 2
direct
0.750 0.666 0.334
0.250 0.334 0.666
0.250 0.394 0.197
0.750 0.197 0.394
0.750 0.197 0.803
0.750 0.606 0.803
0.250 0.803 0.197
0.250 0.803 0.606
0.500 0.000 0.000
0.000 0.000 0.000
```

Output
* spin magnetization: 0.00 μB per atom
* symmetry: No. 194
* N(E_F): 12.0 states/eV per cell


<2>
A plane-wave DFT calculation with PBE was carried out for a relaxed CaSmHg3 crystal.

Geometry as POSCAR:
```
CaSmHg3
1.0
-3.047 -1.428 1.291
2.610 -2.383 3.527
-0.074 12.231 8.320
Sm Hg Ca
2 6 2
direct
0.925 0.750 0.849
0.075 0.250 0.151
0.322 0.750 0.643
0.379 0.250 0.758
0.621 0.750 0.242
0.678 0.250 0.357
0.524 0.750 0.047
0.476 0.250 0.953
0.210 0.750 0.420
0.790 0.250 0.580
```

Output
* spin magnetization: 0.00 μB per atom
* symmetry: No. 63
* N(E_F): 7.8 states/eV per cell


Most stable structure, least stable structure: <2>, <1>.